No. 1
Entry from Alexandria via LeMat-Bulk: Pr2NiH6Pt after structural relaxation (PBE).

## Properties
total magnetic moment: 0.0 μB per formula unit
total energy: -4.629 eV per atom
theoretical density: 8.49 Mg/m³

The structure in CIF format:
```
data_Pr2NiH6Pt
_chemical_formula_sum 'Pr4 Ni2 H12 Pt2'
_space_group_name_H-M_alt 'I 4/m m m'
_space_group_IT_number 139
_space_group_name_Hall '-I 4 2'
_cell_length_a 5.052
_cell_length_b 5.052
_cell_length_c 8.305
_cell_angle_alpha 90.00
_cell_angle_beta 90.00
_cell_angle_gamma 90.00
loop_
_atom_site_label
_atom_site_type_symbol
_atom_site_fract_x
_atom_site_fract_y
_atom_site_fract_z
Pr1 Pr 0.000 0.500 0.250
Ni1 Ni 0.000 0.000 0.000
H1 H 0.000 0.000 0.198
H2 H 0.247 0.247 0.000
Pt1 Pt 0.000 0.000 0.500
```

=====

No. 2
Entry from Alexandria via LeMat-Bulk: TmScH2 after structural relaxation (PBE).

## Properties
energy relative to the lowest polymorph listed for this composition: 0.211 eV per atom
total magnetic moment: 0.0 μB per formula unit
total energy: -4.659 eV per atom
theoretical density: 6.76 Mg/m³

The structure in CIF format:
```
data_TmScH2
_chemical_formula_sum 'Tm3 Sc3 H6'
_space_group_name_H-M_alt 'R 3 m'
_space_group_IT_number 160
_space_group_name_Hall 'R 3 -2"'
_cell_length_a 3.3179
_cell_length_b 3.3179
_cell_length_c 16.7008
_cell_angle_alpha 90.00
_cell_angle_beta 90.00
_cell_angle_gamma 120.00
loop_
_atom_site_label
_atom_site_type_symbol
_atom_site_fract_x
_atom_site_fract_y
_atom_site_fract_z
Tm1 Tm 0.0000 0.0000 0.0000
Sc1 Sc 0.0000 0.0000 0.8193
H1 H 0.0000 0.0000 0.2239
H2 H 0.0000 0.0000 0.4203
```

=====

no.,DOS(E_F) (states/eV/cell)
1,6.8
2,4.0